Record 1
The following is a DFT calculation (PBE) of crystalline Ti2NbAgB at its relaxed geometry.

```
data_Ti2NbAgB
_chemical_formula_sum 'Ti2 Nb1 Ag1 B1'
_space_group_name_H-M_alt 'P 1'
_space_group_IT_number 1
_cell_length_a 4.726
_cell_length_b 4.726
_cell_length_c 4.960
_cell_angle_alpha 90.00
_cell_angle_beta 90.00
_cell_angle_gamma 90.00
loop_
_space_group_symop_operation_xyz
'x,y,z'
loop_
_atom_site_label
_atom_site_type_symbol
_atom_site_fract_x
_atom_site_fract_y
_atom_site_fract_z
Ti1 Ti 0.000 0.500 0.000
Ti2 Ti 0.500 0.000 0.000
Nb1 Nb 0.000 0.000 0.500
Ag1 Ag 0.000 0.000 0.000
B1 B 0.500 0.500 0.500
```

Calculated values
Volume (Å³/f.u.): 110.8
SG: No. 123
Total magnetic moment (μB/atom): 0.2010
Calculated formation energy (meV/atom): 2060

Record 2
The following is a DFT calculation (PBE) of crystalline Mg4Si7 at its relaxed geometry.

```
data_Mg4Si7
_chemical_formula_sum 'Mg8 Si14'
_space_group_name_H-M_alt 'P 1'
_space_group_IT_number 1
_cell_length_a 4.253
_cell_length_b 6.887
_cell_length_c 14.112
_cell_angle_alpha 93.49
_cell_angle_beta 98.50
_cell_angle_gamma 90.58
loop_
_space_group_symop_operation_xyz
'x,y,z'
loop_
_atom_site_label
_atom_site_type_symbol
_atom_site_fract_x
_atom_site_fract_y
_atom_site_fract_z
Mg1 Mg 0.000 0.000 0.000
Mg2 Mg 0.033 0.539 0.076
Mg3 Mg 0.175 0.070 0.373
Mg4 Mg 0.242 0.579 0.503
Mg5 Mg 0.304 0.079 0.595
Mg6 Mg 0.370 0.472 0.751
Mg7 Mg 0.418 0.977 0.821
Mg8 Mg 0.837 0.774 0.673
Si1 Si 0.098 0.248 0.205
Si2 Si 0.102 0.844 0.212
Si3 Si 0.142 0.553 0.298
Si4 Si 0.478 0.327 0.965
Si5 Si 0.479 0.690 0.961
Si6 Si 0.557 0.200 0.122
Si7 Si 0.559 0.846 0.124
Si8 Si 0.657 0.736 0.325
Si9 Si 0.718 0.235 0.460
Si10 Si 0.747 0.882 0.489
Si11 Si 0.789 0.397 0.613
Si12 Si 0.878 0.158 0.729
Si13 Si 0.932 0.685 0.864
Si14 Si 0.938 0.330 0.883
```

Calculated values
Excess energy over the best structure of this formula in the dataset (meV/atom): 26.0
Volume (Å³/f.u.): 204.0
SG: No. 1
Total magnetic moment (μB/atom): 0.0000
ΔE_f (raw) (eV/atom): 0.122

Record 3
The following is a DFT calculation (PBE) of crystalline Cs2ScSbCl6 at its relaxed geometry.

```
data_Cs2ScSbCl6
_chemical_formula_sum 'Cs2 Sc1 Sb1 Cl6'
_space_group_name_H-M_alt 'P 1'
_space_group_IT_number 1
_cell_length_a 8.319
_cell_length_b 8.319
_cell_length_c 8.319
_cell_angle_alpha 127.12
_cell_angle_beta 127.12
_cell_angle_gamma 78.05
loop_
_space_group_symop_operation_xyz
'x,y,z'
loop_
_atom_site_label
_atom_site_type_symbol
_atom_site_fract_x
_atom_site_fract_y
_atom_site_fract_z
Cs1 Cs 0.250 0.750 0.500
Cs2 Cs 0.750 0.250 0.500
Sc1 Sc 0.000 0.000 0.000
Sb1 Sb 0.500 0.500 0.000
Cl1 Cl 0.192 0.192 0.000
Cl2 Cl 0.240 0.240 0.480
Cl3 Cl 0.240 0.760 0.000
Cl4 Cl 0.760 0.240 0.000
Cl5 Cl 0.760 0.760 0.520
Cl6 Cl 0.808 0.808 0.000
```

Calculated values
Volume (Å³/f.u.): 354.6
SG: No. 139
Total magnetic moment (μB/atom): 0.0000
ΔE_f (raw) (eV/atom): -1.605

Record 4
The following is a DFT calculation (PBE) of crystalline LuZrCuHg at its relaxed geometry.

```
data_LuZrCuHg
_chemical_formula_sum 'Lu1 Zr1 Cu1 Hg1'
_space_group_name_H-M_alt 'P 1'
_space_group_IT_number 1
_cell_length_a 4.917
_cell_length_b 4.917
_cell_length_c 4.917
_cell_angle_alpha 60.00
_cell_angle_beta 60.00
_cell_angle_gamma 60.00
loop_
_space_group_symop_operation_xyz
'x,y,z'
loop_
_atom_site_label
_atom_site_type_symbol
_atom_site_fract_x
_atom_site_fract_y
_atom_site_fract_z
Lu1 Lu 0.000 0.000 0.000
Zr1 Zr 0.500 0.500 0.500
Cu1 Cu 0.250 0.250 0.250
Hg1 Hg 0.750 0.750 0.750
```

Calculated values
Volume (Å³/f.u.): 84.1
SG: No. 216
Total magnetic moment (μB/atom): 0.1977
Calculated formation energy (meV/atom): -164

Record 5
The following is a DFT calculation (PBE) of crystalline RbNpAuSe2 at its relaxed geometry.

```
data_RbNpAuSe2
_chemical_formula_sum 'Rb2 Np2 Au2 Se4'
_space_group_name_H-M_alt 'P 1'
_space_group_IT_number 1
_cell_length_a 8.227
_cell_length_b 5.407
_cell_length_c 7.510
_cell_angle_alpha 90.00
_cell_angle_beta 103.74
_cell_angle_gamma 90.00
loop_
_space_group_symop_operation_xyz
'x,y,z'
loop_
_atom_site_label
_atom_site_type_symbol
_atom_site_fract_x
_atom_site_fract_y
_atom_site_fract_z
Rb1 Rb 0.000 0.194 0.250
Rb2 Rb 0.000 0.806 0.750
Np1 Np 0.500 0.491 0.750
Np2 Np 0.500 0.509 0.250
Au1 Au 0.500 0.000 0.000
Au2 Au 0.500 0.000 0.500
Se1 Se 0.257 0.301 0.941
Se2 Se 0.257 0.699 0.441
Se3 Se 0.743 0.301 0.559
Se4 Se 0.743 0.699 0.059
```

Calculated values
Volume (Å³/f.u.): 162.2
SG: No. 13
Total magnetic moment (μB/atom): 0.9830
ΔE_f (raw) (eV/atom): -0.719

Record 6
The following is a DFT calculation (PBE) of crystalline HgPtN3 at its relaxed geometry.

```
data_HgPtN3
_chemical_formula_sum 'Hg1 Pt1 N3'
_space_group_name_H-M_alt 'P 1'
_space_group_IT_number 1
_cell_length_a 3.990
_cell_length_b 3.990
_cell_length_c 3.990
_cell_angle_alpha 90.00
_cell_angle_beta 90.00
_cell_angle_gamma 90.00
loop_
_space_group_symop_operation_xyz
'x,y,z'
loop_
_atom_site_label
_atom_site_type_symbol
_atom_site_fract_x
_atom_site_fract_y
_atom_site_fract_z
Hg1 Hg 0.000 0.000 0.000
Pt1 Pt 0.500 0.500 0.500
N1 N 0.000 0.500 0.500
N2 N 0.500 0.000 0.500
N3 N 0.500 0.500 0.000
```

Calculated values
Volume (Å³/f.u.): 63.5
SG: No. 221
Total magnetic moment (μB/atom): 0.0000
ΔE_f (raw) (eV/atom): 1.976

Record 7
The following is a DFT calculation (PBE) of crystalline DyZnF4 at its relaxed geometry.

```
data_DyZnF4
_chemical_formula_sum 'Dy1 Zn1 F4'
_space_group_name_H-M_alt 'P 1'
_space_group_IT_number 1
_cell_length_a 5.058
_cell_length_b 5.058
_cell_length_c 5.058
_cell_angle_alpha 106.08
_cell_angle_beta 106.08
_cell_angle_gamma 116.49
loop_
_space_group_symop_operation_xyz
'x,y,z'
loop_
_atom_site_label
_atom_site_type_symbol
_atom_site_fract_x
_atom_site_fract_y
_atom_site_fract_z
Dy1 Dy 0.000 0.000 0.000
Zn1 Zn 0.250 0.750 0.500
F1 F 0.043 0.439 0.998
F2 F 0.442 0.045 0.002
F3 F 0.561 0.558 0.603
F4 F 0.955 0.957 0.397
```

Calculated values
Volume (Å³/f.u.): 98.5
SG: No. 82
Total magnetic moment (μB/atom): 0.0000
ΔE_f (raw) (eV/atom): -2.815

Record 8
The following is a DFT calculation (PBE) of crystalline ReNi2Os at its relaxed geometry.

```
data_ReNi2Os
_chemical_formula_sum 'Re1 Ni2 Os1'
_space_group_name_H-M_alt 'P 1'
_space_group_IT_number 1
_cell_length_a 2.664
_cell_length_b 3.762
_cell_length_c 5.161
_cell_angle_alpha 90.00
_cell_angle_beta 90.00
_cell_angle_gamma 90.00
loop_
_space_group_symop_operation_xyz
'x,y,z'
loop_
_atom_site_label
_atom_site_type_symbol
_atom_site_fract_x
_atom_site_fract_y
_atom_site_fract_z
Re1 Re 0.000 0.000 0.000
Ni1 Ni 0.000 0.000 0.515
Ni2 Ni 0.500 0.500 0.740
Os1 Os 0.500 0.500 0.252
```

Calculated values
Excess energy over the best structure of this formula in the dataset (meV/atom): 44.1
Volume (Å³/f.u.): 51.7
SG: No. 25
Total magnetic moment (μB/atom): 0.0000
Calculated formation energy (meV/atom): 53